Record 1
Entry from the Alexandria database: a relaxed Ca2TcSb crystal (PBE).

The space group is F-43m (No. 216) and the conventional cell measures 7.093, 7.093 and 7.093 Å, with angles of 90.00, 90.00 and 90.00 degrees. Symmetry generates all atoms from Ca at (0.000, 0.000, 0.000), Ca at (0.250, 0.250, 0.250), Tc at (0.000, 0.000, 0.500) and Sb at (0.250, 0.250, 0.750).

The energy relative to the elements, uncorrected is 0.049 eV per atom.

---

Record 2
Entry from the Alexandria database: a relaxed Nd2HoGe3Pt4 crystal (PBE).

The space group is P-4m2 (No. 115) and the conventional cell measures 4.325, 4.325 and 11.118 Å, with angles of 90.00, 90.00 and 90.00 degrees. Symmetry generates all atoms from Nd at (0.000, 0.500, 0.223), Ho at (0.000, 0.000, 0.500), Ge at (0.000, 0.500, 0.877), Ge at (0.500, 0.500, 0.500), Pt at (0.000, 0.000, 0.000), Pt at (0.000, 0.500, 0.655) and Pt at (0.500, 0.500, 0.000).

For the formation energy, the calculation gives -0.971 eV per atom.

---

Record 3
Entry from the Alexandria database: a relaxed MgGaHgI2 crystal (PBE).

The space group is P4/mmm (No. 123) and the conventional cell measures 5.938, 5.938 and 5.330 Å, with angles of 90.00, 90.00 and 90.00 degrees. Symmetry generates all atoms from Mg at (0.000, 0.000, 0.000), Ga at (0.000, 0.000, 0.500), Hg at (0.500, 0.500, 0.000) and I at (0.000, 0.500, 0.500).

The value obtained for the excess energy over the best structure of this formula in the dataset is 0 meV/atom. The energy relative to the elements, uncorrected is -0.054 eV per atom.

---

Record 4
Entry from the Alexandria database: a relaxed KSrMg2Pt crystal (PBE).

The space group is P4/mmm (No. 123) and the conventional cell measures 5.321, 5.321 and 5.797 Å, with angles of 90.00, 90.00 and 90.00 degrees. Symmetry generates all atoms from K at (0.000, 0.000, 0.000), Sr at (0.500, 0.500, 0.000), Mg at (0.000, 0.500, 0.500) and Pt at (0.500, 0.500, 0.500).

For the formation energy, the calculation gives -0.322 eV per atom.